Record 1
Computed, not measured: an optimized crystal structure of Dy2ErTm8 at the GGA-PBE level of DFT.

Cell lengths 8.9754, 16.3654, 5.8081 Å; angles 90.00, 126.82, 90.00 degrees
Space group C2/m (No. 12)
Inequivalent atoms, fractional coordinates:
Dy 0.0000 0.1903 0.0000 [4 per cell]
Er 0.0000 0.5000 0.5000 [2 per cell]
Tm 0.0000 0.2972 0.5000 [4 per cell]
Tm 0.0498 0.0000 0.2851 [4 per cell]
Tm 0.2220 0.3758 0.2008 [8 per cell]

***

Record 2
Computed, not measured: an optimized crystal structure of Ho4ZnAu at the GGA-PBE level of DFT.

Cell lengths 4.9215, 4.9215, 6.9970 Å; angles 90.00, 90.00, 90.00 degrees
Space group P4/mmm (No. 123)
Inequivalent atoms, fractional coordinates:
Ho 0.0000 0.5000 0.2498 [4 per cell]
Zn 0.0000 0.0000 0.0000 [1 per cell]
Au 0.5000 0.5000 0.5000 [1 per cell]

***

Record 3
Computed, not measured: an optimized crystal structure of ScReHg2 at the GGA-PBE level of DFT.

Cell lengths 4.1452, 4.1452, 4.3717 Å; angles 90.00, 90.00, 90.00 degrees
Space group P4/mmm (No. 123)
Inequivalent atoms, fractional coordinates:
Sc 0.0000 0.0000 0.0000 [1 per cell]
Re 0.5000 0.5000 0.0000 [1 per cell]
Hg 0.0000 0.5000 0.5000 [2 per cell]

***

Record 4
Computed, not measured: an optimized crystal structure of KZrTaFe2 at the GGA-PBE level of DFT.

Cell lengths 4.2708, 4.2708, 4.6765 Å; angles 90.00, 90.00, 90.00 degrees
Space group P4/mmm (No. 123)
Inequivalent atoms, fractional coordinates:
K 0.0000 0.0000 0.0000 [1 per cell]
Zr 0.0000 0.0000 0.5000 [1 per cell]
Ta 0.5000 0.5000 0.5000 [1 per cell]
Fe 0.0000 0.5000 0.0000 [2 per cell]

***

Table of M_tot (μB/atom), in record order: 0.00 0.00 0.03 0.00
Table of calculated formation energy (kJ/mol of atoms), in record order: 15.93 -22.12 24.53 229.48
Table of uncorrected energy (eV/atom), in record order: -4.34 -4.04 -4.59 -5.31